Entry 1:
First-principles (SCAN) data for a crystal of Be3Co4 relaxed with PBEsol, as listed in the Alexandria database.

- Total magnetic moment: 0.70 μB/atom
- DFT total energy: -83.2 eV/f.u.

Lattice parameters (Å, degrees): 2.5543 2.5543 9.7102 97.56 97.56 90.00
Closest atoms and distances in Å follow each position.
Atoms (fractional coordinates):
1 Co 0.1506 0.1506 0.3013  4 Be 2.22, 4 Co 2.37
2 Be 0.7184 0.7184 0.4368  4 Be 2.17, 4 Co 2.22
3 Be 0.0000 0.0000 0.0000  8 Co 2.25
4 Co 0.5704 0.5704 0.1408  4 Be 2.25, 4 Co 2.37
5 Co 0.8494 0.8494 0.6987  4 Be 2.22, 4 Co 2.37
6 Be 0.2816 0.2816 0.5632  4 Be 2.17, 4 Co 2.22
7 Co 0.4296 0.4296 0.8592  4 Be 2.25, 4 Co 2.37


Entry 2:
First-principles (SCAN) data for a crystal of BeCo5 relaxed with PBEsol, as listed in the Alexandria database.

- Energy relative to the lowest polymorph listed for this composition: 0.032 eV/atom
- Total magnetic moment: 1.43 μB/atom
- DFT total energy: -91.1 eV/f.u.

Lattice parameters (Å, degrees): 3.4429 3.4559 5.2851 70.92 90.00 90.00
Closest atoms and distances in Å follow each position.
Atoms (fractional coordinates):
1 Co 0.0000 0.8334 0.3332  10 Co 2.39-2.44, 2 Be 2.40
2 Co 0.5000 0.0000 0.0000  8 Co 2.38-2.39, 4 Be 2.44
3 Co 0.0000 0.1666 0.6668  10 Co 2.39-2.44, 2 Be 2.40
4 Co 0.5000 0.3361 0.3278  2 Be 2.38, 10 Co 2.38-2.44
5 Co 0.5000 0.6639 0.6722  2 Be 2.38, 10 Co 2.38-2.44
6 Be 0.0000 0.5000 0.0000  12 Co 2.38-2.44


Entry 3:
First-principles (SCAN) data for a crystal of Be8Co relaxed with PBEsol, as listed in the Alexandria database.

- Total magnetic moment: 0.05 μB/atom
- DFT total energy: -52.9 eV/f.u.

Lattice parameters (Å, degrees): 2.6780 5.3567 5.3567 86.42 75.52 75.52
Closest atoms and distances in Å follow each position.
Atoms (fractional coordinates):
1 Be 0.0000 0.6674 0.3326  8 Be 2.18-2.19, 1 Co 2.44
2 Be 0.6656 0.6689 0.0000  2 Co 2.18, 8 Be 2.18-2.43
3 Be 0.6656 0.0000 0.6689  2 Co 2.18, 8 Be 2.18-2.43
4 Be 0.3326 0.6674 0.6674  8 Be 2.18-2.19, 1 Co 2.44
5 Be 0.3345 0.0000 0.3311  2 Co 2.18, 8 Be 2.18-2.43
6 Be 0.6674 0.3326 0.3326  8 Be 2.18-2.19, 1 Co 2.44
7 Co 0.0000 0.0000 0.0000  8 Be 2.18
8 Be 0.0000 0.3326 0.6674  8 Be 2.18-2.19, 1 Co 2.44
9 Be 0.3345 0.3311 0.0000  2 Co 2.18, 8 Be 2.18-2.43


Entry 4:
First-principles (SCAN) data for a crystal of BeCo7 relaxed with PBEsol, as listed in the Alexandria database.

- Total magnetic moment: 1.46 μB/atom
- DFT total energy: -125.5 eV/f.u.

Lattice parameters (Å, degrees): 4.8476 4.8476 4.8476 60.00 60.00 60.00
Closest atoms and distances in Å follow each position.
Atoms (fractional coordinates):
1 Co 0.0000 0.5000 0.0000  10 Co 2.42, 2 Be 2.42
2 Co 0.5000 0.5000 0.0000  10 Co 2.42, 2 Be 2.42
3 Co 0.5000 0.5000 0.5000  12 Co 2.42
4 Co 0.0000 0.0000 0.5000  10 Co 2.42, 2 Be 2.42
5 Co 0.0000 0.5000 0.5000  10 Co 2.42, 2 Be 2.42
6 Be 0.0000 0.0000 0.0000  12 Co 2.42
7 Co 0.5000 0.0000 0.5000  10 Co 2.42, 2 Be 2.42
8 Co 0.5000 0.0000 0.0000  2 Be 2.42, 10 Co 2.42


Entry 5:
First-principles (SCAN) data for a crystal of Be5Co relaxed with PBEsol, as listed in the Alexandria database.

- Total magnetic moment: 0.04 μB/atom
- DFT total energy: -39.9 eV/f.u.

Lattice parameters (Å, degrees): 2.6373 4.1552 4.9044 107.55 90.00 108.50
Closest atoms and distances in Å follow each position.
Atoms (fractional coordinates):
1 Be 0.6660 0.3320 0.3305  2 Co 2.17, 7 Be 2.20-2.42
2 Be 0.0000 0.0000 0.5000  8 Be 2.20, 2 Co 2.45
3 Be 0.3327 0.6653 0.1630  6 Be 2.16-2.20, 2 Co 2.19
4 Co 0.0000 0.0000 0.0000  8 Be 2.17-2.19
5 Be 0.6673 0.3347 0.8370  6 Be 2.16-2.20, 2 Co 2.19
6 Be 0.3340 0.6680 0.6695  2 Co 2.17, 7 Be 2.20-2.42


Entry 6:
First-principles (SCAN) data for a crystal of BeCo relaxed with PBEsol, as listed in the Alexandria database.

- Total magnetic moment: 0.14 μB/atom
- DFT total energy: -22.2 eV/f.u.

Lattice parameters (Å, degrees): 2.5645 2.5645 2.5645 90.00 90.00 90.00
Closest atoms and distances in Å follow each position.
Atoms (fractional coordinates):
1 Co 0.5000 0.5000 0.5000  8 Be 2.22
2 Be 0.0000 0.0000 0.0000  8 Co 2.22


Entry 7:
First-principles (SCAN) data for a crystal of Be5Co relaxed with PBEsol, as listed in the Alexandria database.

- Total magnetic moment: 0.00 μB/atom
- DFT total energy: -40.1 eV/f.u.

Lattice parameters (Å, degrees): 4.0634 4.0634 4.0634 60.00 60.00 60.00
Closest atoms and distances in Å follow each position.
Atoms (fractional coordinates):
1 Be 0.3744 0.8768 0.3744  6 Be 2.02-2.04
2 Be 0.3744 0.3744 0.3744  6 Be 2.02-2.04
3 Co 0.0000 0.0000 0.0000  16 Be 2.38-2.49
4 Be 0.8768 0.3744 0.3744  6 Be 2.02-2.04
5 Be 0.7500 0.7500 0.7500  12 Be 2.38, 4 Co 2.49
6 Be 0.3744 0.3744 0.8768  6 Be 2.02-2.04


Entry 8:
First-principles (SCAN) data for a crystal of BeCo3 relaxed with PBEsol, as listed in the Alexandria database.

- Total magnetic moment: 1.23 μB/atom
- DFT total energy: -56.5 eV/f.u.

Lattice parameters (Å, degrees): 3.8973 4.1296 4.8000 90.00 90.00 90.00
Closest atoms and distances in Å follow each position.
Atoms (fractional coordinates):
1 Co 0.0000 0.8303 0.2512  8 Co 2.34-2.43, 4 Be 2.38-2.39
2 Co 0.5000 0.6572 0.0000  8 Co 2.34-2.43, 4 Be 2.37-2.40
3 Co 0.5000 0.1697 0.2488  8 Co 2.34-2.43, 4 Be 2.38-2.39
4 Co 0.0000 0.8303 0.7488  8 Co 2.34-2.43, 4 Be 2.38-2.39
5 Be 0.0000 0.3300 0.0000  12 Co 2.37-2.40
6 Co 0.5000 0.1697 0.7512  8 Co 2.34-2.43, 4 Be 2.38-2.39
7 Be 0.5000 0.6700 0.5000  12 Co 2.37-2.40
8 Co 0.0000 0.3428 0.5000  8 Co 2.34-2.43, 4 Be 2.37-2.40